# 1
# AlHgC PBE-GGA relaxed
data_AlHgC
_chemical_formula_sum 'Al4 Hg4 C4'
_cell_length_a 8.041
_cell_length_b 3.208
_cell_length_c 8.784
_cell_angle_alpha 90.00
_cell_angle_beta 102.50
_cell_angle_gamma 90.00
_symmetry_space_group_name_H-M 'C 1 2/m 1'
_symmetry_Int_Tables_number 12
loop_
_symmetry_equiv_pos_as_xyz
'x,y,z'
'-x,-y,-z'
'-x,y,-z'
'x,-y,z'
'x+1/2,y+1/2,z'
'-x+1/2,-y+1/2,-z'
'-x+1/2,y+1/2,-z'
'x+1/2,-y+1/2,z'
loop_
_atom_site_label
_atom_site_type_symbol
_atom_site_fract_x
_atom_site_fract_y
_atom_site_fract_z
Al1 Al 0.172 0.000 0.380
Hg1 Hg 0.174 0.500 0.118
C1 C 0.082 0.500 0.489
# Magnetization: 0.0 μB per formula unit
# Density of states at the Fermi level: 0.297 states/eV/atom
# Energy relative to the elements: 0.326 eV/atom
# ΔE to the lowest computed polymorph: 1 meV per atom

=====

# 2
# Al3HgC PBE-GGA relaxed
data_Al3HgC
_chemical_formula_sum 'Al3 Hg1 C1'
_cell_length_a 4.993
_cell_length_b 4.993
_cell_length_c 4.993
_cell_angle_alpha 90.00
_cell_angle_beta 90.00
_cell_angle_gamma 90.00
_symmetry_space_group_name_H-M 'P m -3 m'
_symmetry_Int_Tables_number 221
_symmetry_space_group_name_Hall '-P 4 2 3'
loop_
_atom_site_label
_atom_site_type_symbol
_atom_site_fract_x
_atom_site_fract_y
_atom_site_fract_z
Al1 Al 0.000 0.000 0.500
Hg1 Hg 0.000 0.000 0.000
C1 C 0.500 0.500 0.500
# Magnetization: 1.4 μB per formula unit
# Density of states at the Fermi level: 0.561 states/eV/atom
# Energy relative to the elements: 1.872 eV/atom
# ΔE to the lowest computed polymorph: 1512 meV per atom

=====

# 3
# Al2HgC PBE-GGA relaxed
data_Al2HgC
_chemical_formula_sum 'Al8 Hg4 C4'
_cell_length_a 5.805
_cell_length_b 5.805
_cell_length_c 8.343
_cell_angle_alpha 90.00
_cell_angle_beta 90.00
_cell_angle_gamma 90.00
_symmetry_space_group_name_H-M 'I -4 2 d'
_symmetry_Int_Tables_number 122
_symmetry_space_group_name_Hall 'I -4 2bw'
loop_
_atom_site_label
_atom_site_type_symbol
_atom_site_fract_x
_atom_site_fract_y
_atom_site_fract_z
Al1 Al 0.135 0.250 0.125
Hg1 Hg 0.000 0.000 0.500
C1 C 0.000 0.000 0.000
# Magnetization: 0.0 μB per formula unit
# Density of states at the Fermi level: 0.019 states/eV/atom
# Energy relative to the elements: 0.195 eV/atom

=====

# 4
# AlHgC PBE-GGA relaxed
data_AlHgC
_chemical_formula_sum 'Al4 Hg4 C4'
_cell_length_a 8.040
_cell_length_b 3.279
_cell_length_c 9.105
_cell_angle_alpha 90.00
_cell_angle_beta 102.54
_cell_angle_gamma 90.00
_symmetry_space_group_name_H-M 'C 1 m 1'
_symmetry_Int_Tables_number 8
loop_
_symmetry_equiv_pos_as_xyz
'x,y,z'
'x,-y,z'
'x+1/2,y+1/2,z'
'x+1/2,-y+1/2,z'
loop_
_atom_site_label
_atom_site_type_symbol
_atom_site_fract_x
_atom_site_fract_y
_atom_site_fract_z
Al1 Al 0.000 0.000 0.000
Al2 Al 0.161 0.500 0.218
Hg1 Hg 0.168 0.000 0.476
Hg2 Hg 0.450 0.500 0.703
C1 C 0.247 0.000 0.118
C2 C 0.414 0.000 0.096
# Magnetization: 0.0 μB per formula unit
# Density of states at the Fermi level: 0.356 states/eV/atom
# Energy relative to the elements: 0.329 eV/atom
# ΔE to the lowest computed polymorph: 4 meV per atom

=====

# 5
# AlHgC PBE-GGA relaxed
data_AlHgC
_chemical_formula_sum 'Al2 Hg2 C2'
_cell_length_a 5.879
_cell_length_b 3.217
_cell_length_c 6.265
_cell_angle_alpha 90.00
_cell_angle_beta 98.81
_cell_angle_gamma 90.00
_symmetry_space_group_name_H-M 'P 1 m 1'
_symmetry_Int_Tables_number 6
loop_
_symmetry_equiv_pos_as_xyz
'x,y,z'
'x,-y,z'
loop_
_atom_site_label
_atom_site_type_symbol
_atom_site_fract_x
_atom_site_fract_y
_atom_site_fract_z
Al1 Al 0.000 0.000 0.000
Al2 Al 0.077 0.000 0.603
Hg1 Hg 0.505 0.000 0.182
Hg2 Hg 0.568 0.000 0.690
C1 C 0.005 0.500 0.195
C2 C 0.029 0.500 0.408
# Magnetization: 0.0 μB per formula unit
# Density of states at the Fermi level: 0.310 states/eV/atom
# Energy relative to the elements: 0.389 eV/atom
# ΔE to the lowest computed polymorph: 64 meV per atom

=====

# 6
# AlHgC3 PBE-GGA relaxed
data_AlHgC3
_chemical_formula_sum 'Al1 Hg1 C3'
_cell_length_a 4.028
_cell_length_b 4.028
_cell_length_c 4.028
_cell_angle_alpha 90.00
_cell_angle_beta 90.00
_cell_angle_gamma 90.00
_symmetry_space_group_name_H-M 'P m -3 m'
_symmetry_Int_Tables_number 221
_symmetry_space_group_name_Hall '-P 4 2 3'
loop_
_atom_site_label
_atom_site_type_symbol
_atom_site_fract_x
_atom_site_fract_y
_atom_site_fract_z
Al1 Al 0.000 0.000 0.000
Hg1 Hg 0.500 0.500 0.500
C1 C 0.000 0.000 0.500
# Magnetization: 0.0 μB per formula unit
# Density of states at the Fermi level: 0.847 states/eV/atom
# Energy relative to the elements: 2.347 eV/atom
# ΔE to the lowest computed polymorph: 0 meV per atom

=====

# 7
# Al2HgC PBE-GGA relaxed
data_Al2HgC
_chemical_formula_sum 'Al6 Hg3 C3'
_cell_length_a 3.1702
_cell_length_b 3.1702
_cell_length_c 22.0509
_cell_angle_alpha 90.00
_cell_angle_beta 90.00
_cell_angle_gamma 120.00
_symmetry_space_group_name_H-M 'R -3 m'
_symmetry_Int_Tables_number 166
_symmetry_space_group_name_Hall '-R 3 2"'
loop_
_atom_site_label
_atom_site_type_symbol
_atom_site_fract_x
_atom_site_fract_y
_atom_site_fract_z
Al1 Al 0.0000 0.0000 0.1201
Hg1 Hg 0.0000 0.0000 0.0000
C1 C 0.0000 0.0000 0.5000
# Magnetization: 0.0 μB per formula unit
# Density of states at the Fermi level: 0.181 states/eV/atom
# Energy relative to the elements: 0.054 eV/atom

=====

# 8
# AlHgC PBE-GGA relaxed
data_AlHgC
_chemical_formula_sum 'Al2 Hg2 C2'
_cell_length_a 3.129
_cell_length_b 4.262
_cell_length_c 8.470
_cell_angle_alpha 92.84
_cell_angle_beta 90.74
_cell_angle_gamma 111.51
_symmetry_space_group_name_H-M 'P -1'
_symmetry_Int_Tables_number 2
loop_
_symmetry_equiv_pos_as_xyz
'x,y,z'
'-x,-y,-z'
loop_
_atom_site_label
_atom_site_type_symbol
_atom_site_fract_x
_atom_site_fract_y
_atom_site_fract_z
Al1 Al 0.190 0.390 0.369
Hg1 Hg 0.129 0.224 0.862
C1 C 0.419 0.832 0.514
# Magnetization: 0.0 μB per formula unit
# Density of states at the Fermi level: 0.238 states/eV/atom
# Energy relative to the elements: 0.328 eV/atom
# ΔE to the lowest computed polymorph: 3 meV per atom

=====

- The lowest density of states at the Fermi level belongs to which entry?
  number 3